[1]
Ti3NbIn2 | PBE | relaxed

Cell lengths 3.3267, 3.3267, 10.1821 Å; angles 90.00, 90.00, 90.00 degrees
Element x y z (fractional)
Ti (0.0000, 0.0000, 0.0000)
Ti (0.0000, 0.0000, 0.6453)
Ti (0.0000, 0.0000, 0.3547)
Nb (0.5000, 0.5000, 0.5000)
In (0.5000, 0.5000, 0.8215)
In (0.5000, 0.5000, 0.1785)

Summary:
The calculation puts the formation energy at -0.15 eV per atom. The value obtained for the energy above the lowest structure with this stoichiometry is 14.7 meV/atom.

[2]
MnReTe2N | PBE | relaxed

Cell lengths 5.4530, 5.4530, 3.7327 Å; angles 90.00, 90.00, 90.00 degrees
Element x y z (fractional)
Re (0.0000, 0.0000, 0.0000)
Te (0.0000, 0.5000, 0.0000)
Te (0.5000, 0.0000, 0.0000)
Mn (0.5000, 0.5000, 0.5000)
N (0.0000, 0.0000, 0.5000)

Summary:
The value obtained for the energy above the lowest structure with this stoichiometry is 0.0 meV/atom. For the uncorrected formation energy, the calculation gives 477.8 meV per atom.

[3]
Nd4AlPt | PBE | relaxed

Cell lengths 9.9233, 9.9233, 9.9233 Å; angles 60.00, 60.00, 60.00 degrees
Element x y z (fractional)
Nd (0.3975, 0.3975, 0.3975)
Nd (0.8075, 0.3975, 0.3975)
Nd (0.3975, 0.8075, 0.3975)
Nd (0.3975, 0.3975, 0.8075)
Nd (0.5515, 0.5515, 0.9485)
Nd (0.9485, 0.9485, 0.5515)
Nd (0.5515, 0.9485, 0.5515)
Nd (0.9485, 0.5515, 0.9485)
Nd (0.9485, 0.5515, 0.5515)
Nd (0.5515, 0.9485, 0.9485)
Nd (0.1848, 0.1848, 0.8152)
Nd (0.8152, 0.8152, 0.1848)
Nd (0.1848, 0.8152, 0.1848)
Nd (0.8152, 0.1848, 0.8152)
Nd (0.8152, 0.1848, 0.1848)
Nd (0.1848, 0.8152, 0.8152)
Al (0.1760, 0.1760, 0.1760)
Al (0.4721, 0.1760, 0.1760)
Al (0.1760, 0.4721, 0.1760)
Al (0.1760, 0.1760, 0.4721)
Pt (0.6073, 0.6073, 0.6073)
Pt (0.1781, 0.6073, 0.6073)
Pt (0.6073, 0.1781, 0.6073)
Pt (0.6073, 0.6073, 0.1781)

Summary:
The calculation puts the formation energy at -0.54 eV per atom. The value obtained for the energy above the lowest structure with this stoichiometry is 0.0 meV/atom.

[4]
La4Pr2In | PBE | relaxed

Cell lengths 6.9857, 6.9857, 10.6778 Å; angles 90.00, 90.00, 104.35 degrees
Element x y z (fractional)
La (0.8097, 0.8103, 0.0000)
La (0.1903, 0.1897, 0.0000)
La (0.1897, 0.1903, 0.5000)
La (0.8103, 0.8097, 0.5000)
La (0.5000, 0.0000, 0.2498)
La (0.0000, 0.5000, 0.2502)
La (0.5000, 0.0000, 0.7502)
La (0.0000, 0.5000, 0.7498)
Pr (0.3081, 0.6903, 0.0000)
Pr (0.6919, 0.3097, 0.0000)
Pr (0.3097, 0.6919, 0.5000)
Pr (0.6903, 0.3081, 0.5000)
In (0.5000, 0.5000, 0.2500)
In (0.5000, 0.5000, 0.7500)

Summary:
The calculation puts the formation energy at 0.00 eV per atom. The value obtained for the energy above the lowest structure with this stoichiometry is 7.4 meV/atom.

[5]
La11Cd9Ir4 | PBE | relaxed

Cell lengths 3.8960, 13.5977, 13.5977 Å; angles 112.59, 90.00, 90.00 degrees
Element x y z (fractional)
La (0.0000, 0.5823, 0.9167)
La (0.0000, 0.4177, 0.0833)
La (0.0000, 0.9167, 0.5823)
La (0.0000, 0.0833, 0.4177)
La (0.0000, 0.6262, 0.3738)
La (0.0000, 0.3738, 0.6262)
La (0.0000, 0.8392, 0.1608)
La (0.0000, 0.1608, 0.8392)
La (0.0000, 0.0000, 0.0000)
La (0.0000, 0.6897, 0.6897)
La (0.0000, 0.3103, 0.3103)
Cd (0.5000, 0.6365, 0.1588)
Cd (0.5000, 0.3635, 0.8412)
Cd (0.5000, 0.1588, 0.6365)
Cd (0.5000, 0.8412, 0.3635)
Cd (0.5000, 0.7851, 0.9254)
Cd (0.5000, 0.2149, 0.0746)
Cd (0.5000, 0.9254, 0.7851)
Cd (0.5000, 0.0746, 0.2149)
Cd (0.5000, 0.5000, 0.5000)
Ir (0.5000, 0.5484, 0.7511)
Ir (0.5000, 0.4516, 0.2489)
Ir (0.5000, 0.7511, 0.5484)
Ir (0.5000, 0.2489, 0.4516)

Summary:
The calculation puts the formation energy at -0.51 eV per atom.

[6]
NdMgBi2 | PBE | relaxed

Cell lengths 4.3248, 5.1856, 5.1856 Å; angles 90.00, 90.00, 90.00 degrees
Element x y z (fractional)
Mg (0.5000, 0.0000, 0.0000)
Nd (0.5000, 0.5000, 0.5000)
Bi (0.0000, 0.0000, 0.5000)
Bi (0.0000, 0.5000, 0.0000)

Summary:
The calculation puts the formation energy at -0.49 eV per atom. The value obtained for the energy above the lowest structure with this stoichiometry is 44.3 meV/atom.

[7]
CsInGeS4 | PBE | relaxed

Cell lengths 6.3575, 7.9144, 9.6491 Å; angles 90.00, 106.69, 90.00 degrees
Element x y z (fractional)
Cs (0.7409, 0.7500, 0.8931)
Cs (0.2591, 0.2500, 0.1069)
In (0.6978, 0.7500, 0.3237)
In (0.3022, 0.2500, 0.6763)
Ge (0.1871, 0.7500, 0.3035)
Ge (0.8129, 0.2500, 0.6965)
S (0.0400, 0.4707, 0.7113)
S (0.9600, 0.9707, 0.2887)
S (0.9600, 0.5293, 0.2887)
S (0.0400, 0.0293, 0.7113)
S (0.3404, 0.7500, 0.1194)
S (0.6596, 0.2500, 0.8806)
S (0.4823, 0.7500, 0.4989)
S (0.5177, 0.2500, 0.5011)

Summary:
For the uncorrected formation energy, the calculation gives -695.3 meV per atom.

[8]
Th6C5Se | PBE | relaxed

Cell lengths 6.6987, 6.7297, 6.7214 Å; angles 59.96, 80.31, 70.35 degrees
Element x y z (fractional)
Th (0.7414, 0.0874, 0.3585)
Th (0.2586, 0.5541, 0.3585)
Th (0.2680, 0.2671, 0.0000)
Th (0.7320, 0.7329, 0.0000)
Th (0.7414, 0.4459, 0.6415)
Th (0.2586, 0.9126, 0.6415)
C (0.5000, 0.1667, 0.6667)
C (0.0000, 0.3324, 0.3352)
C (0.5000, 0.5000, 0.0000)
C (0.0000, 0.6676, 0.6648)
C (0.5000, 0.8333, 0.3333)
Se (0.0000, 0.0000, 0.0000)

Summary:
For the uncorrected formation energy, the calculation gives -502.3 meV per atom.

[9]
CsHoTe3Pb | PBE | relaxed

Cell lengths 4.5030, 9.9336, 12.2172 Å; angles 109.50, 90.00, 90.00 degrees
Element x y z (fractional)
Cs (0.2500, 0.2192, 0.2615)
Cs (0.7500, 0.7808, 0.7385)
Ho (0.2500, 0.6332, 0.1496)
Ho (0.7500, 0.3668, 0.8504)
Te (0.7500, 0.8654, 0.1910)
Te (0.2500, 0.1346, 0.8090)
Te (0.2500, 0.6491, 0.4121)
Te (0.7500, 0.3509, 0.5879)
Te (0.7500, 0.4107, 0.1092)
Te (0.2500, 0.5893, 0.8908)
Pb (0.2500, 0.1380, 0.5676)
Pb (0.7500, 0.8620, 0.4324)

Summary:
For the uncorrected formation energy, the calculation gives -1016.7 meV per atom.

[10]
TmScCuNi | PBE | relaxed

Cell lengths 3.2865, 3.2865, 6.6236 Å; angles 90.00, 90.00, 90.00 degrees
Element x y z (fractional)
Tm (0.5000, 0.5000, 0.6001)
Sc (0.5000, 0.5000, 0.1132)
Cu (0.0000, 0.0000, 0.8777)
Ni (0.0000, 0.0000, 0.3369)

Summary:
The calculation puts the formation energy at -0.38 eV per atom. The value obtained for the energy above the lowest structure with this stoichiometry is 0.0 meV/atom.

[11]
Si3Ni2 | PBE | relaxed

Cell lengths 9.1963, 9.1963, 9.1963 Å; angles 17.49, 17.49, 17.49 degrees
Element x y z (fractional)
Si (0.0000, 0.0000, 0.0000)
Si (0.7966, 0.7966, 0.7966)
Si (0.2034, 0.2034, 0.2034)
Ni (0.4011, 0.4011, 0.4011)
Ni (0.5989, 0.5989, 0.5989)

Summary:
For the uncorrected formation energy, the calculation gives -194.5 meV per atom.